# 1
First-principles (PBE) data for Tb2InBi3 after structural relaxation, as listed in Alexandria via LeMat-Bulk.

Results
- space group = Immm
- magnetization (μB/f.u.) = 0.00
- calculated volume (Å³ per atom) = 33.0
- final energy (hartree per atom) = -0.1608
- calculated formation energy (eV/atom) = -0.4342

Cell lengths 8.050, 8.050, 8.050 Å; angles 147.90, 134.03, 57.17 degrees
Atoms (fractional coordinates):
Tb  0.166  0.166  0.000
Tb  0.834  0.834  0.000
In  0.500  0.500  0.000
Bi  0.000  0.500  0.500
Bi  0.328  0.828  0.500
Bi  0.672  0.172  0.500

---

# 2
First-principles (PBE) data for Tb4InBi after structural relaxation, as listed in Alexandria via LeMat-Bulk.

Results
- space group = Cmcm
- magnetization (μB/f.u.) = 0.16
- calculated volume (Å³ per atom) = 32.9
- final energy (hartree per atom) = -0.1633
- calculated formation energy (eV/atom) = -0.2548

Cell lengths 11.132, 11.132, 6.446 Å; angles 90.00, 90.00, 150.40 degrees
Atoms (fractional coordinates):
Tb  0.064  0.936  0.750
Tb  0.209  0.791  0.000
Tb  0.209  0.791  0.500
Tb  0.369  0.631  0.750
Tb  0.631  0.369  0.250
Tb  0.791  0.209  0.000
Tb  0.791  0.209  0.500
Tb  0.936  0.064  0.250
In  0.077  0.923  0.250
In  0.923  0.077  0.750
Bi  0.349  0.651  0.250
Bi  0.651  0.349  0.750

---

# 3
First-principles (PBE) data for Tb4InBi2 after structural relaxation, as listed in Alexandria via LeMat-Bulk.

Results
- space group = P2_1/m
- magnetization (μB/f.u.) = 0.00
- calculated volume (Å³ per atom) = 30.1
- final energy (hartree per atom) = -0.1688
- calculated formation energy (eV/atom) = -0.4472

Cell lengths 6.086, 6.689, 10.626 Å; angles 90.00, 103.20, 90.00 degrees
Atoms (fractional coordinates):
Tb  0.019  0.250  0.345
Tb  0.141  0.250  0.956
Tb  0.459  0.509  0.241
Tb  0.459  0.991  0.241
Tb  0.541  0.009  0.759
Tb  0.541  0.491  0.759
Tb  0.859  0.750  0.044
Tb  0.981  0.750  0.655
In  0.062  0.250  0.669
In  0.938  0.750  0.331
Bi  0.305  0.750  0.955
Bi  0.410  0.750  0.501
Bi  0.590  0.250  0.499
Bi  0.695  0.250  0.045

---

# 4
First-principles (PBE) data for TbIn2Bi after structural relaxation, as listed in Alexandria via LeMat-Bulk.

Results
- space group = R-3m
- magnetization (μB/f.u.) = 0.00
- calculated volume (Å³ per atom) = 31.4
- final energy (hartree per atom) = -0.1235
- calculated formation energy (eV/atom) = 0.1364

Cell lengths 12.161, 12.161, 12.161 Å; angles 16.44, 16.44, 16.44 degrees
Atoms (fractional coordinates):
Tb  0.000  0.000  0.000
In  0.089  0.089  0.089
In  0.911  0.911  0.911
Bi  0.500  0.500  0.500

---

# 5
First-principles (PBE) data for TbInBi after structural relaxation, as listed in Alexandria via LeMat-Bulk.

Results
- space group = R-3m
- magnetization (μB/f.u.) = 0.00
- calculated volume (Å³ per atom) = 31.9
- final energy (hartree per atom) = -0.1490
- relative energy among the computed polymorphs (eV/atom) = 0.000
- calculated formation energy (eV/atom) = -0.3040

Cell lengths 9.086, 9.086, 9.086 Å; angles 32.37, 32.37, 32.37 degrees
Atoms (fractional coordinates):
Tb  0.078  0.078  0.078
Tb  0.922  0.922  0.922
In  0.347  0.347  0.347
In  0.653  0.653  0.653
Bi  0.214  0.214  0.214
Bi  0.786  0.786  0.786

---

# 6
First-principles (PBE) data for Tb5InBi2 after structural relaxation, as listed in Alexandria via LeMat-Bulk.

Results
- space group = Cmcm
- magnetization (μB/f.u.) = 0.00
- calculated volume (Å³ per atom) = 31.3
- final energy (hartree per atom) = -0.1649
- calculated formation energy (eV/atom) = -0.2807

Cell lengths 6.505, 6.505, 14.851 Å; angles 90.00, 90.00, 127.27 degrees
Atoms (fractional coordinates):
Tb  0.073  0.927  0.750
Tb  0.121  0.879  0.050
Tb  0.121  0.879  0.450
Tb  0.425  0.575  0.098
Tb  0.425  0.575  0.402
Tb  0.575  0.425  0.598
Tb  0.575  0.425  0.902
Tb  0.879  0.121  0.550
Tb  0.879  0.121  0.950
Tb  0.927  0.073  0.250
In  0.216  0.784  0.250
In  0.784  0.216  0.750
Bi  0.296  0.704  0.617
Bi  0.296  0.704  0.883
Bi  0.704  0.296  0.117
Bi  0.704  0.296  0.383